Y3W5N12 | PBE | optimized geometry

Calculated values
- E_tot (eV per cell) = -1598.4
- V (Å³/cell) = 2107.0
- formation energy without anion corrections (kJ/mol of atoms) = -75.93

Cell and atoms, written as CIF:
```
data_Y3W5N12
_cell_length_a 12.820
_cell_length_b 12.820
_cell_length_c 12.820
_cell_angle_alpha 90.00
_cell_angle_beta 90.00
_cell_angle_gamma 90.00
_symmetry_space_group_name_H-M 'I a -3 d'
_symmetry_Int_Tables_number 230
_symmetry_space_group_name_Hall '-I 4bd 2c 3'
loop_
_atom_site_label
_atom_site_type_symbol
_atom_site_fract_x
_atom_site_fract_y
_atom_site_fract_z
Y1 Y 0.000 0.250 0.125
W1 W 0.000 0.000 0.000
W2 W 0.000 0.250 0.375
N1 N 0.032 0.051 0.649
```


Y3WN | PBE | optimized geometry

Calculated values
- E_tot (eV per cell) = -41.7
- V (Å³/cell) = 106.8
- formation energy without anion corrections (kJ/mol of atoms) = -20.64
- distance to the lowest polymorph of the same formula (meV per atom) = 0

Cell and atoms, written as CIF:
```
data_Y3WN
_cell_length_a 4.745
_cell_length_b 4.745
_cell_length_c 4.745
_cell_angle_alpha 90.00
_cell_angle_beta 90.00
_cell_angle_gamma 90.00
_symmetry_space_group_name_H-M 'P m -3 m'
_symmetry_Int_Tables_number 221
_symmetry_space_group_name_Hall '-P 4 2 3'
loop_
_atom_site_label
_atom_site_type_symbol
_atom_site_fract_x
_atom_site_fract_y
_atom_site_fract_z
Y1 Y 0.000 0.000 0.500
W1 W 0.500 0.500 0.500
N1 N 0.000 0.000 0.000
```